DFT (PBE) results for an optimized crystal structure of Mg2Co5B2Ir.

a = 2.7643 Å, b = 8.9810 Å, c = 8.9810 Å
α = 90.00°, β = 90.00°, γ = 90.00°
Closest atoms and distances in Å follow each position.
Fractional positions:
1 Co 0.5000 0.4318 0.2729  2 B 2.01
2 Co 0.5000 0.2271 0.0682  2 B 2.01
3 Co 0.5000 0.0682 0.7729  2 B 2.01
4 Co 0.5000 0.9318 0.2271  2 B 2.01
5 Co 0.5000 0.2729 0.5682  2 B 2.01
6 Co 0.5000 0.0000 0.5000  4 B 2.05
7 Co 0.5000 0.7271 0.4318  2 B 2.01
8 Co 0.5000 0.5682 0.7271  2 B 2.01
9 Co 0.5000 0.7729 0.9318  2 B 2.01
10 Co 0.5000 0.5000 0.0000  4 B 2.05
11 Mg 0.0000 0.3214 0.8214  3 B 2.57-2.73, 10 Co 2.66-2.75, 2 Mg 2.76
12 Mg 0.0000 0.1786 0.3214  3 B 2.57-2.73, 10 Co 2.66-2.75, 2 Mg 2.76
13 Mg 0.0000 0.6786 0.1786  3 B 2.57-2.73, 10 Co 2.66-2.75, 2 Mg 2.76
14 Mg 0.0000 0.8214 0.6786  3 B 2.57-2.73, 10 Co 2.66-2.75, 2 Mg 2.76
15 Ir 0.0000 0.5000 0.5000  8 Co 2.54, 2 Ir 2.76
16 Ir 0.0000 0.0000 0.0000  8 Co 2.54, 2 Ir 2.76
17 B 0.0000 0.1193 0.6193  6 Co 2.01-2.05
18 B 0.0000 0.8807 0.3807  6 Co 2.01-2.05
19 B 0.0000 0.6193 0.8807  6 Co 2.01-2.05
20 B 0.0000 0.3807 0.1193  6 Co 2.01-2.05

Output
The value obtained for the formation energy is -0.18 eV/atom. Its uncorrected energy is -125.4 eV/cell.